TlTcPb | PBEsol | optimized geometry

a b c (Å): 2.966 4.975 4.975
angles (deg): 120.00 90.00 90.00
Fractional coordinates of all 3 atoms:
1 Tc 0.828 0.333 0.667
2 Pb 0.837 0.000 0.000
3 Tl 0.335 0.667 0.333

Total DFT energy (no corrections) (eV/atom): -5.0836
V (Å³/cell): 63.6
Calculated formation energy (eV/f.u.): 2.644
Spin magnetization (μB/cell): 0.00
Fermi-level density of states (states/eV/f.u.): 2.420